Ta6NbMo2: relaxed, PBE-GGA.

Cell and atoms, written as POSCAR:
```
Ta6NbMo2
1.0
4.502 0.000 0.000
0.000 4.502 0.000
0.000 0.000 8.510
Ta Nb Mo
6 1 2
Direct
0.000 0.500 0.294
0.500 0.000 0.294
0.000 0.500 0.706
0.500 0.000 0.706
0.500 0.500 0.500
0.000 0.000 0.500
0.000 0.000 0.000
0.500 0.500 0.137
0.500 0.500 0.863
```

Computed properties:
As for the energy of formation from the pure elements: 0.50 eV/atom. The distance to the lowest polymorph of the same formula is 593.5 meV per atom. Its space-group type is P4/mmm, No. 123. Its crystal system is tetragonal. The calculation puts the density of states at the Fermi level at 10.1 states/eV/f.u.